Compound: PmYHoSc
Source: the Alexandria database
Functional: GGA-PBE
Structure: relaxed

a = 12.120 Å, b = 5.614 Å, c = 3.805 Å
α = 90.00°, β = 108.26°, γ = 90.00°
Space group Cm (No. 8)
One atom of each set of equivalent atoms:
Pm  0.000  0.000  0.000 [2 per cell]
Y  0.277  0.000  0.780 [2 per cell]
Ho  0.043  0.500  0.544 [2 per cell]
Sc  0.270  0.500  0.271 [2 per cell]

Results
Calculated volume in Å³/cell: 245.85
Formation enthalpy at 0 K in eV/atom: 0.106